First-principles (PBE) data for a relaxed LiTl2Ag2 crystal, as listed in Alexandria.

Structure (extended XYZ):
```
5
Lattice="3.890 0.000 0.000 0.000 3.890 0.000 1.945 1.945 7.890" Properties=species:S:1:pos:R:3 pbc="T T T"
Tl 1.945 1.945 1.587
Tl 3.890 3.890 6.303
Li 0.000 0.000 0.000
Ag 1.945 3.890 3.945
Ag 3.890 1.945 3.945
```

Density   8.781 Mg/m³
Total DFT energy (no corrections)   -2.395 eV/atom
Energy above the lowest structure with this stoichiometry   46 meV/atom
Total moment   0.000 μB/f.u.
Energy of formation   0.074 eV/atom
Crystal system   tetragonal
Space-group type   I4/mmm, No. 139